[1]
Material: CdIF2
Method: DFT, PBEsol
State: optimized geometry

abc: 5.991 5.991 5.991
angles: 107.82 107.82 112.83
Positions (direct):
Cd 0.000 0.000 0.000
Cd 0.750 0.250 0.500
I 0.250 0.750 0.500
I 0.500 0.500 0.000
F 0.005 0.625 0.880
F 0.375 0.255 0.380
F 0.745 0.125 0.120
F 0.875 0.995 0.620

Output
- ΔE_f (raw) (eV per atom) = -1.24
- space group = No. 122


[2]
Material: YZnPS2
Method: DFT, PBEsol
State: optimized geometry

abc: 4.640 4.640 4.512
angles: 90.00 90.00 90.00
Positions (direct):
Y 0.000 0.000 0.000
Zn 0.500 0.500 0.500
P 0.500 0.500 0.000
S 0.000 0.500 0.500
S 0.500 0.000 0.500

Output
- ΔE_f (raw) (eV per atom) = -0.37
- space group = No. 123


[3]
Material: Y2ZnCr
Method: DFT, PBEsol
State: optimized geometry

abc: 3.511 3.511 7.042
angles: 90.00 90.00 90.00
Positions (direct):
Y 0.000 0.000 0.248
Y 0.000 0.000 0.752
Zn 0.500 0.500 0.500
Cr 0.500 0.500 0.000

Output
- energy above the most stable polymorph in this dataset (meV per atom) = 6.8
- formation energy (meV/atom) = 79
- space group = No. 123


Going through the records in order, we get volume values of 165; 97; 87 Å³ per cell.
Going through the records in order, we get total energy values of -2.944; -4.959; -6.288 eV per atom.